[1]
Entry from Alexandria: a geometry-optimized AlW2Br structure (GGA-PBEsol).

```
AlW2Br
1.0
1.448 0.836 8.875
-1.448 0.836 8.875
0.000 -1.671 8.875
Al W Br
1 2 1
direct
0.000 0.000 0.000
0.250 0.250 0.250
0.750 0.750 0.750
0.500 0.500 0.500
```

Values from the calculation:
* energy above the most stable polymorph in this dataset: 0.000 eV per atom
* space-group type: R-3m (166)
* raw formation energy: 58.3 kJ per mole of atoms

[2]
Entry from Alexandria: a geometry-optimized YAlBr2 structure (GGA-PBEsol).

```
YAlBr2
1.0
-3.525 3.525 5.893
3.525 -3.525 5.893
3.525 3.525 -5.893
Y Al Br
2 2 4
direct
0.000 0.000 0.000
0.750 0.250 0.500
0.250 0.750 0.500
0.500 0.500 0.000
0.083 0.625 0.958
0.375 0.333 0.458
0.667 0.125 0.042
0.875 0.917 0.542
```

Values from the calculation:
* energy above the most stable polymorph in this dataset: 0.365 eV per atom
* space-group type: I-42d (122)
* raw formation energy: -23.3 kJ per mole of atoms

[3]
Entry from Alexandria: a geometry-optimized YAl2Br structure (GGA-PBEsol).

```
YAl2Br
1.0
5.787 -1.720 0.000
5.787 1.720 0.000
-0.800 0.000 4.430
Y Al Br
1 2 1
direct
0.000 0.000 0.000
0.261 0.261 0.765
0.739 0.739 0.235
0.500 0.500 0.500
```

Values from the calculation:
* energy above the most stable polymorph in this dataset: 0.007 eV per atom
* space-group type: C2/m (12)
* raw formation energy: -33.0 kJ per mole of atoms

[4]
Entry from Alexandria: a geometry-optimized YAlBr2 structure (GGA-PBEsol).

```
YAlBr2
1.0
-2.053 2.053 5.609
2.053 -2.053 5.609
2.053 2.053 -5.609
Y Al Br
1 1 2
direct
0.000 0.000 0.000
0.750 0.250 0.500
0.250 0.750 0.500
0.500 0.500 0.000
```

Values from the calculation:
* energy above the most stable polymorph in this dataset: 0.000 eV per atom
* space-group type: I-4m2 (119)
* raw formation energy: -58.4 kJ per mole of atoms

[5]
Entry from Alexandria: a geometry-optimized YAlBr2 structure (GGA-PBEsol).

```
YAlBr2
1.0
0.000 3.590 3.590
3.590 0.000 3.590
3.590 3.590 0.000
Y Al Br
1 1 2
direct
0.000 0.000 0.000
0.500 0.500 0.500
0.250 0.250 0.250
0.750 0.750 0.750
```

Values from the calculation:
* energy above the most stable polymorph in this dataset: 0.047 eV per atom
* space-group type: Fm-3m (225)
* raw formation energy: -53.9 kJ per mole of atoms

[6]
Entry from Alexandria: a geometry-optimized YAl2Br structure (GGA-PBEsol).

```
YAl2Br
1.0
-2.008 2.008 5.271
2.008 -2.008 5.271
2.008 2.008 -5.271
Y Al Br
1 2 1
direct
0.000 0.000 0.000
0.250 0.750 0.500
0.750 0.250 0.500
0.500 0.500 0.000
```

Values from the calculation:
* energy above the most stable polymorph in this dataset: 0.000 eV per atom
* space-group type: I4/mmm (139)
* raw formation energy: -33.7 kJ per mole of atoms

[7]
Entry from Alexandria: a geometry-optimized YAlBr2 structure (GGA-PBEsol).

```
YAlBr2
1.0
3.267 -4.165 0.000
3.267 4.165 0.000
0.000 0.000 3.500
Y Al Br
1 1 2
direct
0.000 0.000 0.000
0.500 0.500 0.000
0.000 0.500 0.500
0.500 0.000 0.500
```

Values from the calculation:
* energy above the most stable polymorph in this dataset: 0.093 eV per atom
* space-group type: Cmmm (65)
* raw formation energy: -49.4 kJ per mole of atoms

[8]
Entry from Alexandria: a geometry-optimized Y2AlBr structure (GGA-PBEsol).

```
Y2AlBr
1.0
3.617 0.000 0.000
0.000 4.682 0.000
0.000 0.000 5.817
Y Al Br
2 1 1
direct
0.000 0.000 0.000
0.500 0.500 0.500
0.000 0.000 0.500
0.500 0.500 0.000
```

Values from the calculation:
* space-group type: Pmmm (47)
* raw formation energy: -70.4 kJ per mole of atoms

[9]
Entry from Alexandria: a geometry-optimized AlZnBr2 structure (GGA-PBEsol).

```
AlZnBr2
1.0
0.000 3.576 3.576
3.576 0.000 3.576
3.576 3.576 0.000
Al Zn Br
1 1 2
direct
0.000 0.000 0.000
0.750 0.750 0.750
0.250 0.250 0.250
0.500 0.500 0.500
```

Values from the calculation:
* energy above the most stable polymorph in this dataset: 0.217 eV per atom
* space-group type: F-43m (216)
* raw formation energy: 19.9 kJ per mole of atoms

[10]
Entry from Alexandria: a geometry-optimized AlZnBr2 structure (GGA-PBEsol).

```
AlZnBr2
1.0
3.586 0.000 0.000
0.000 3.586 0.000
0.000 0.000 6.998
Al Zn Br
1 1 2
direct
0.000 0.000 0.000
0.000 0.000 0.500
0.500 0.500 0.256
0.500 0.500 0.744
```

Values from the calculation:
* energy above the most stable polymorph in this dataset: 0.000 eV per atom
* space-group type: P4/mmm (123)
* raw formation energy: -1.0 kJ per mole of atoms

[11]
Entry from Alexandria: a geometry-optimized Al3ZnBr structure (GGA-PBEsol).

```
Al3ZnBr
1.0
4.828 0.000 0.000
0.000 4.828 0.000
0.000 0.000 4.828
Al Zn Br
3 1 1
direct
0.000 0.000 0.500
0.000 0.500 0.000
0.500 0.000 0.000
0.000 0.000 0.000
0.500 0.500 0.500
```

Values from the calculation:
* space-group type: Pm-3m (221)
* raw formation energy: 30.6 kJ per mole of atoms

[12]
Entry from Alexandria: a geometry-optimized ZrAl2Br structure (GGA-PBEsol).

```
ZrAl2Br
1.0
1.624 0.938 8.735
-1.624 0.938 8.735
0.000 -1.875 8.735
Zr Al Br
1 2 1
direct
0.000 0.000 0.000
0.249 0.249 0.249
0.751 0.751 0.751
0.500 0.500 0.500
```

Values from the calculation:
* energy above the most stable polymorph in this dataset: 0.000 eV per atom
* space-group type: R-3m (166)
* raw formation energy: -16.7 kJ per mole of atoms

[13]
Entry from Alexandria: a geometry-optimized ZrAl2Br structure (GGA-PBEsol).

```
ZrAl2Br
1.0
3.296 0.000 0.000
0.000 4.593 0.000
0.000 0.000 5.272
Zr Al Br
1 2 1
direct
0.000 0.000 0.000
0.500 0.500 0.245
0.500 0.500 0.755
0.000 0.000 0.500
```

Values from the calculation:
* energy above the most stable polymorph in this dataset: 0.054 eV per atom
* space-group type: Pmmm (47)
* raw formation energy: -11.5 kJ per mole of atoms

[14]
Entry from Alexandria: a geometry-optimized ZrAl2Br structure (GGA-PBEsol).

```
ZrAl2Br
1.0
-1.649 2.281 5.048
1.649 -2.281 5.048
1.649 2.281 -5.048
Zr Al Br
1 2 1
direct
0.000 0.000 0.000
0.243 0.743 0.500
0.757 0.257 0.500
0.500 0.500 0.000
```

Values from the calculation:
* energy above the most stable polymorph in this dataset: 0.044 eV per atom
* space-group type: Immm (71)
* raw formation energy: -12.5 kJ per mole of atoms

[15]
Entry from Alexandria: a geometry-optimized ZrAl2Br structure (GGA-PBEsol).

```
ZrAl2Br
1.0
4.989 0.000 0.000
0.000 4.989 0.000
0.000 0.000 3.211
Zr Al Br
1 2 1
direct
0.000 0.000 0.000
0.000 0.500 0.500
0.500 0.000 0.500
0.500 0.500 0.000
```

Values from the calculation:
* energy above the most stable polymorph in this dataset: 0.099 eV per atom
* space-group type: P4/mmm (123)
* raw formation energy: -7.2 kJ per mole of atoms

[16]
Entry from Alexandria: a geometry-optimized AlC structure (GGA-PBEsol).

```
AlC
1.0
3.840 0.000 0.000
0.000 3.840 0.000
0.000 0.000 2.831
Al C
2 2
direct
0.250 0.750 0.000
0.750 0.250 0.000
0.250 0.250 0.249
0.750 0.750 0.751
```

Values from the calculation:
* energy above the most stable polymorph in this dataset: 0.396 eV per atom
* space-group type: P4/nmm (129)
* energy of formation from the pure elements: 0.844 eV/atom

[17]
Entry from Alexandria: a geometry-optimized AlC structure (GGA-PBEsol).

```
AlC
1.0
-1.461 1.461 4.748
1.461 -1.461 4.748
1.461 1.461 -4.748
Al C
2 2
direct
0.375 0.625 0.750
0.625 0.375 0.250
0.125 0.875 0.250
0.875 0.125 0.750
```

Values from the calculation:
* energy above the most stable polymorph in this dataset: 0.514 eV per atom
* space-group type: I4_1/amd (141)
* energy of formation from the pure elements: 0.962 eV/atom

[18]
Entry from Alexandria: a geometry-optimized AlC structure (GGA-PBEsol).

```
AlC
1.0
2.875 0.000 0.000
-1.438 2.490 0.000
0.000 0.000 5.354
Al C
2 2
direct
0.000 0.000 0.000
0.000 0.000 0.500
0.333 0.667 0.250
0.667 0.333 0.750
```

Values from the calculation:
* energy above the most stable polymorph in this dataset: 0.072 eV per atom
* space-group type: P6_3/mmc (194)
* energy of formation from the pure elements: 0.521 eV/atom

[19]
Entry from Alexandria: a geometry-optimized AlC4 structure (GGA-PBEsol).

```
AlC4
1.0
-2.635 2.635 2.468
2.635 -2.635 2.468
2.635 2.635 -2.468
Al C
1 4
direct
0.000 0.000 0.000
0.000 0.380 0.380
0.000 0.620 0.620
0.380 0.000 0.380
0.620 0.000 0.620
```

Values from the calculation:
* space-group type: I4/mmm (139)
* energy of formation from the pure elements: 1.526 eV/atom

[20]
Entry from Alexandria: a geometry-optimized AlC structure (GGA-PBEsol).

```
AlC
1.0
2.680 0.000 0.000
0.000 2.680 0.000
0.000 0.000 2.680
Al C
1 1
direct
0.000 0.000 0.000
0.500 0.500 0.500
```

Values from the calculation:
* energy above the most stable polymorph in this dataset: 0.818 eV per atom
* space-group type: Pm-3m (221)
* energy of formation from the pure elements: 1.266 eV/atom